1.
A plane-wave DFT calculation with PBE was carried out for a geometry-optimized K2SnHg2 structure.

POSCAR file:
```
K2SnHg2
1.0
-7.641 2.064 -6.070
3.412 -6.686 -6.568
-1.903 -2.492 1.548
Sn Hg K
2 4 4
direct
0.500 0.500 0.000
0.000 0.000 0.000
0.389 0.111 0.500
0.611 0.889 0.500
0.889 0.389 0.500
0.111 0.611 0.500
0.317 0.817 0.000
0.683 0.183 0.000
0.183 0.317 0.000
0.817 0.683 0.000
```

Calculated values
Polymorph energy (0 for the lowest one) in meV/atom: 215
Energy in eV/atom: -1.404
Volume in Å³/f.u.: 174
Formation enthalpy at 0 K in eV/atom: -0.044

***

2.
A plane-wave DFT calculation with PBE was carried out for a geometry-optimized KSnHg2 structure.

POSCAR file:
```
KSnHg2
1.0
-2.832 -4.567 1.680
1.975 -2.856 -4.433
7.378 -6.591 3.957
Hg Sn K
4 2 2
direct
0.760 0.125 0.250
0.375 0.240 0.750
0.990 0.625 0.250
0.875 0.010 0.750
0.000 0.000 0.000
0.750 0.250 0.500
0.500 0.500 0.000
0.250 0.750 0.500
```

Calculated values
Energy in eV/atom: -1.476
Volume in Å³/f.u.: 157
Formation enthalpy at 0 K in eV/atom: -0.050

***

3.
A plane-wave DFT calculation with PBE was carried out for a geometry-optimized KSn2Hg8 structure.

POSCAR file:
```
KSn2Hg8
1.0
6.227 -0.030 0.263
2.247 4.551 1.768
0.645 -1.702 11.730
Hg Sn K
8 2 1
direct
0.134 0.684 0.000
0.866 0.316 0.000
0.755 0.125 0.741
0.755 0.866 0.259
0.500 0.289 0.423
0.245 0.875 0.259
0.500 0.711 0.577
0.245 0.134 0.741
0.000 0.715 0.570
0.000 0.285 0.430
0.500 0.000 0.000
```

Calculated values
Energy in eV/atom: -1.071
Volume in Å³/f.u.: 350
Formation enthalpy at 0 K in eV/atom: -0.024

***

4.
A plane-wave DFT calculation with PBE was carried out for a geometry-optimized K3SnHg8 structure.

POSCAR file:
```
K3SnHg8
1.0
-4.485 2.197 4.103
1.297 0.349 6.322
2.481 10.428 2.220
K Hg Sn
3 8 1
direct
0.492 0.492 0.525
0.006 0.006 0.981
0.621 0.621 0.137
0.056 0.559 0.825
0.055 0.055 0.312
0.559 0.559 0.825
0.579 0.055 0.312
0.559 0.056 0.825
0.309 0.309 0.074
0.055 0.579 0.312
0.806 0.806 0.582
0.153 0.153 0.542
```

Calculated values
Energy in eV/atom: -0.953
Volume in Å³/f.u.: 372
Formation enthalpy at 0 K in eV/atom: -0.143

***

5.
A plane-wave DFT calculation with PBE was carried out for a geometry-optimized K2SnHg4 structure.

POSCAR file:
```
K2SnHg4
1.0
5.642 0.000 0.000
0.000 5.642 0.000
2.821 2.821 9.099
Hg K Sn
4 2 1
direct
0.000 0.500 0.000
0.818 0.818 0.364
0.182 0.182 0.636
0.500 0.000 0.000
0.630 0.630 0.740
0.370 0.370 0.260
0.000 0.000 0.000
```

Calculated values
Energy in eV/atom: -1.137
Volume in Å³/f.u.: 290
Formation enthalpy at 0 K in eV/atom: -0.080

***

6.
A plane-wave DFT calculation with PBE was carried out for a geometry-optimized KSnHg14 structure.

POSCAR file:
```
KSnHg14
1.0
10.299 -3.454 -1.741
-3.683 -3.652 9.702
-4.399 -3.569 -9.431
Hg Sn K
28 2 2
direct
0.694 0.357 0.802
0.606 0.993 0.612
0.306 0.643 0.198
0.261 0.363 0.387
0.945 0.143 0.337
0.945 0.608 0.802
0.524 0.626 0.387
0.739 0.637 0.613
0.600 0.622 0.978
0.055 0.392 0.198
0.086 0.883 0.203
0.476 0.863 0.102
0.400 0.378 0.022
0.694 0.892 0.337
0.261 0.874 0.898
0.857 0.878 0.978
0.820 0.617 0.203
0.476 0.374 0.613
0.914 0.117 0.797
0.524 0.137 0.898
0.306 0.108 0.663
0.739 0.126 0.102
0.055 0.857 0.663
0.119 0.507 0.612
0.881 0.493 0.388
0.180 0.383 0.797
0.143 0.122 0.022
0.394 0.007 0.388
0.000 0.500 0.000
0.000 0.000 0.500
0.505 0.250 0.255
0.495 0.750 0.745
```

Calculated values
Energy in eV/atom: -0.599
Volume in Å³/f.u.: 492
Formation enthalpy at 0 K in eV/atom: -0.016

***

7.
A plane-wave DFT calculation with PBE was carried out for a geometry-optimized K2Sn5Hg3 structure.

POSCAR file:
```
K2Sn5Hg3
1.0
5.145 0.000 0.000
0.000 5.145 0.000
0.000 0.000 12.175
Sn Hg K
5 3 2
direct
0.500 0.000 0.865
0.500 0.500 0.000
0.000 0.500 0.135
0.500 0.500 0.500
0.000 0.000 0.000
0.000 0.500 0.375
0.500 0.000 0.625
0.000 0.000 0.500
0.500 0.000 0.263
0.000 0.500 0.737
```

Calculated values
Polymorph energy (0 for the lowest one) in meV/atom: 11
Energy in eV/atom: -2.458
Volume in Å³/f.u.: 322
Formation enthalpy at 0 K in eV/atom: -0.146

***

8.
A plane-wave DFT calculation with PBE was carried out for a geometry-optimized KSnHg4 structure.

POSCAR file:
```
KSnHg4
1.0
9.353 0.729 0.822
-0.296 6.701 -2.577
1.405 -1.331 6.395
Hg Sn K
8 2 2
direct
0.751 0.213 0.426
0.556 0.854 0.217
0.556 0.363 0.217
0.444 0.146 0.783
0.249 0.787 0.574
0.444 0.637 0.783
0.000 0.792 0.000
0.000 0.208 0.000
0.191 0.550 0.101
0.809 0.450 0.899
0.796 0.805 0.610
0.204 0.195 0.390
```

Calculated values
Polymorph energy (0 for the lowest one) in meV/atom: 8
Energy in eV/atom: -1.184
Volume in Å³/f.u.: 180
Formation enthalpy at 0 K in eV/atom: -0.132

***

9.
A plane-wave DFT calculation with PBE was carried out for a geometry-optimized KSnHg3 structure.

POSCAR file:
```
KSnHg3
1.0
-1.868 -3.332 -4.869
5.876 -1.511 -1.220
-0.532 -4.992 3.619
K Hg Sn
1 3 1
direct
0.000 0.000 0.000
0.500 0.000 0.000
0.000 0.000 0.500
0.000 0.500 0.000
0.500 0.500 0.500
```

Calculated values
Polymorph energy (0 for the lowest one) in meV/atom: 646
Energy in eV/atom: -0.714
Volume in Å³/f.u.: 237
Formation enthalpy at 0 K in eV/atom: 0.487

***

10.
A plane-wave DFT calculation with PBE was carried out for a geometry-optimized KSn3Hg structure.

POSCAR file:
```
KSn3Hg
1.0
-4.477 -5.068 -0.922
2.679 -1.248 -6.144
4.323 -4.325 2.764
Sn Hg K
6 2 2
direct
0.972 0.426 0.954
0.472 0.927 0.948
0.831 0.071 0.701
0.472 0.927 0.454
0.331 0.282 0.201
0.972 0.425 0.448
0.626 0.584 0.201
0.126 0.769 0.701
0.977 0.919 0.201
0.477 0.434 0.701
```

Calculated values
Polymorph energy (0 for the lowest one) in meV/atom: 53
Energy in eV/atom: -2.776
Volume in Å³/f.u.: 156
Formation enthalpy at 0 K in eV/atom: -0.095

***

11.
A plane-wave DFT calculation with PBE was carried out for a geometry-optimized KSn4Hg structure.

POSCAR file:
```
KSn4Hg
1.0
-3.869 4.200 -2.812
-5.943 -1.681 -1.539
-4.928 2.433 3.210
Sn Hg K
4 1 1
direct
0.625 0.625 0.126
0.126 0.625 0.625
0.625 0.126 0.625
0.625 0.625 0.625
0.250 0.250 0.250
0.000 0.000 0.000
```

Calculated values
Energy in eV/atom: -2.909
Volume in Å³/f.u.: 182
Formation enthalpy at 0 K in eV/atom: -0.007

***

12.
A plane-wave DFT calculation with PBE was carried out for a geometry-optimized K2Sn2Hg structure.

POSCAR file:
```
K2Sn2Hg
1.0
-4.192 -0.769 0.584
0.965 -3.430 2.409
-1.529 3.939 10.062
Hg K Sn
1 2 2
direct
0.000 0.000 0.000
0.604 0.604 0.792
0.396 0.396 0.208
0.250 0.750 0.500
0.750 0.250 0.500
```

Calculated values
Polymorph energy (0 for the lowest one) in meV/atom: 95
Energy in eV/atom: -2.193
Volume in Å³/f.u.: 194
Formation enthalpy at 0 K in eV/atom: -0.092

***

13.
A plane-wave DFT calculation with PBE was carried out for a geometry-optimized KSnHg structure.

POSCAR file:
```
KSnHg
1.0
4.961 0.000 0.000
0.000 5.088 0.000
0.000 0.000 8.642
Hg Sn K
2 2 2
direct
0.500 0.500 0.168
0.500 0.500 0.832
0.000 0.500 0.662
0.000 0.500 0.338
0.500 0.000 0.500
0.000 0.000 0.000
```

Calculated values
Polymorph energy (0 for the lowest one) in meV/atom: 28
Energy in eV/atom: -1.981
Volume in Å³/f.u.: 109
Formation enthalpy at 0 K in eV/atom: -0.181

***

14.
A plane-wave DFT calculation with PBE was carried out for a geometry-optimized KSnHg structure.

POSCAR file:
```
KSnHg
1.0
0.572 4.372 -0.732
-6.441 -1.181 1.477
-0.317 3.500 7.078
K Hg Sn
2 2 2
direct
0.923 0.458 0.075
0.497 0.170 0.633
0.732 0.707 0.703
0.687 0.921 0.005
0.078 0.974 0.277
0.342 0.654 0.431
```

Calculated values
Polymorph energy (0 for the lowest one) in meV/atom: 0
Energy in eV/atom: -2.009
Volume in Å³/f.u.: 103
Formation enthalpy at 0 K in eV/atom: -0.209

***

15.
A plane-wave DFT calculation with PBE was carried out for a geometry-optimized K2SnHg12 structure.

POSCAR file:
```
K2SnHg12
1.0
7.089 0.000 0.000
0.000 7.089 0.000
0.000 0.000 18.458
Hg Sn K
24 2 4
direct
0.500 0.500 0.189
0.658 0.842 0.567
0.342 0.158 0.567
0.250 0.750 0.096
0.158 0.342 0.433
0.000 0.000 0.189
0.000 0.000 0.649
0.750 0.750 0.096
0.500 0.500 0.649
0.750 0.250 0.096
0.000 0.000 0.351
0.342 0.842 0.433
0.500 0.500 0.351
0.250 0.250 0.096
0.750 0.250 0.904
0.250 0.250 0.904
0.158 0.658 0.567
0.500 0.500 0.811
0.250 0.750 0.904
0.750 0.750 0.904
0.658 0.158 0.433
0.000 0.000 0.811
0.842 0.658 0.433
0.842 0.342 0.567
0.000 0.500 0.000
0.500 0.000 0.000
0.500 0.000 0.251
0.000 0.500 0.749
0.500 0.000 0.749
0.000 0.500 0.251
```

Calculated values
Energy in eV/atom: -0.773
Volume in Å³/f.u.: 464
Formation enthalpy at 0 K in eV/atom: -0.118

***

16.
A plane-wave DFT calculation with PBE was carried out for a geometry-optimized KSnHg2 structure.

POSCAR file:
```
KSnHg2
1.0
5.104 0.000 0.000
0.000 8.654 0.000
0.000 0.000 11.133
Hg K Sn
8 4 4
direct
0.750 0.327 0.479
0.250 0.882 0.162
0.250 0.173 0.979
0.750 0.118 0.838
0.750 0.618 0.662
0.750 0.827 0.021
0.250 0.673 0.521
0.250 0.382 0.338
0.750 0.178 0.188
0.250 0.322 0.688
0.250 0.822 0.812
0.750 0.678 0.312
0.250 0.011 0.424
0.750 0.989 0.576
0.250 0.511 0.076
0.750 0.489 0.924
```

Calculated values
Energy in eV/atom: -1.628
Volume in Å³/f.u.: 123
Formation enthalpy at 0 K in eV/atom: -0.202

***

17.
A plane-wave DFT calculation with PBE was carried out for a geometry-optimized KSn3Hg structure.

POSCAR file:
```
KSn3Hg
1.0
4.556 -0.003 1.571
-0.613 5.081 1.770
0.118 0.445 7.030
Sn Hg K
3 1 1
direct
0.138 0.440 0.431
0.786 0.589 0.135
0.661 0.966 0.381
0.020 0.824 0.664
0.403 0.206 0.900
```

Calculated values
Polymorph energy (0 for the lowest one) in meV/atom: 0
Energy in eV/atom: -2.829
Volume in Å³/f.u.: 158
Formation enthalpy at 0 K in eV/atom: -0.147

***

18.
A plane-wave DFT calculation with PBE was carried out for a geometry-optimized K2SnHg10 structure.

POSCAR file:
```
K2SnHg10
1.0
-2.847 -0.049 -5.813
2.161 -12.704 -0.951
-9.645 -1.995 4.741
K Hg Sn
4 20 2
direct
0.500 0.918 0.778
0.500 0.082 0.222
0.500 0.582 0.278
0.500 0.418 0.722
0.277 0.687 0.575
0.000 0.877 0.526
0.000 0.288 0.698
0.277 0.313 0.425
0.723 0.687 0.575
0.000 0.788 0.802
0.000 0.212 0.198
0.723 0.313 0.425
0.723 0.187 0.925
0.000 0.540 0.771
0.000 0.960 0.271
0.000 0.377 0.974
0.723 0.813 0.075
0.000 0.460 0.229
0.000 0.040 0.729
0.277 0.187 0.925
0.000 0.123 0.474
0.277 0.813 0.075
0.000 0.712 0.302
0.000 0.623 0.026
0.000 0.000 0.000
0.000 0.500 0.500
```

Calculated values
Energy in eV/atom: -0.786
Volume in Å³/f.u.: 457
Formation enthalpy at 0 K in eV/atom: -0.077

***

19.
A plane-wave DFT calculation with PBE was carried out for a geometry-optimized K2Sn3Hg5 structure.

POSCAR file:
```
K2Sn3Hg5
1.0
-5.529 3.957 2.006
-8.211 -5.662 1.066
-1.393 -0.622 9.914
K Sn Hg
4 6 10
direct
0.869 0.396 0.865
0.631 0.135 0.604
0.131 0.604 0.135
0.369 0.865 0.396
0.364 0.524 0.748
0.864 0.748 0.524
0.250 0.000 0.000
0.136 0.252 0.476
0.750 0.000 0.000
0.636 0.476 0.252
0.893 0.949 0.265
0.750 0.500 0.500
0.025 0.225 0.225
0.393 0.265 0.949
0.250 0.500 0.500
0.607 0.735 0.051
0.975 0.775 0.775
0.525 0.225 0.225
0.475 0.775 0.775
0.107 0.051 0.735
```

Calculated values
Polymorph energy (0 for the lowest one) in meV/atom: 5
Energy in eV/atom: -1.715
Volume in Å³/f.u.: 309
Formation enthalpy at 0 K in eV/atom: -0.144

***

20.
A plane-wave DFT calculation with PBE was carried out for a geometry-optimized KSnHg2 structure.

POSCAR file:
```
KSnHg2
1.0
-4.710 -1.406 0.479
-1.471 -4.358 -1.799
-0.650 -4.723 5.195
Sn K Hg
1 1 2
direct
0.681 0.681 0.956
0.493 0.493 0.521
0.274 0.274 0.179
0.052 0.052 0.844
```

Calculated values
Energy in eV/atom: -1.576
Volume in Å³/f.u.: 136
Formation enthalpy at 0 K in eV/atom: -0.150